No. 1
Here is crystalline CrIr2Pb at its relaxed geometry from the Alexandria database. Energies are from GGA-PBE.

abc: 4.5021 4.5021 4.5021
angles: 60.00 60.00 60.00
Sites, in units of the cell vectors:
Cr 0.5000 0.5000 0.5000
Ir 0.0000 0.0000 0.0000
Ir 0.2500 0.2500 0.2500
Pb 0.7500 0.7500 0.7500

Output
Spin magnetization   0.0 μB/cell
Energy   -7.142 eV/atom
ΔE_f   0.62 eV per atom

No. 2
Here is crystalline HoErCuRh at its relaxed geometry from the Alexandria database. Energies are from GGA-PBE.

abc: 4.8494 4.8494 4.8494
angles: 60.00 60.00 60.00
Sites, in units of the cell vectors:
Er 0.5000 0.5000 0.5000
Ho 0.0000 0.0000 0.0000
Cu 0.2500 0.2500 0.2500
Rh 0.7500 0.7500 0.7500

Output
Spin magnetization   0.0 μB/cell
Energy   -5.740 eV/atom
ΔE to the lowest computed polymorph   0.0142 eV/atom
ΔE_f   -0.59 eV per atom

No. 3
Here is crystalline TmZrTe4 at its relaxed geometry from the Alexandria database. Energies are from GGA-PBE.

abc: 4.0693 6.8407 7.1283
angles: 90.47 90.00 90.00
Sites, in units of the cell vectors:
Te 0.0000 0.7389 0.6553
Te 0.5000 0.2653 0.8220
Te 0.0000 0.2611 0.3447
Zr 0.5000 0.0000 0.5000
Te 0.5000 0.7347 0.1780
Tm 0.0000 0.0000 0.0000

Output
Spin magnetization   0.0 μB/cell
ΔE_f (raw)   -939.1 meV/atom
Energy   -5.204 eV/atom
ΔE to the lowest computed polymorph   0.0000 eV/atom

No. 4
Here is crystalline LaTi3O at its relaxed geometry from the Alexandria database. Energies are from GGA-PBE.

abc: 4.3748 4.3748 4.3748
angles: 90.00 90.00 90.00
Sites, in units of the cell vectors:
Ti 0.0000 0.0000 0.5000
La 0.5000 0.5000 0.5000
Ti 0.0000 0.5000 0.0000
Ti 0.5000 0.0000 0.0000
O 0.0000 0.0000 0.0000

Output
Spin magnetization   0.0 μB/cell
ΔE_f (raw)   -682.9 meV/atom
Energy   -7.397 eV/atom
ΔE to the lowest computed polymorph   0.0000 eV/atom